(1)
## ZrIn4Ag (PBE)

Data for ZrIn4Ag after structural relaxation.

a b c (Å): 5.884 5.884 5.884
angles (deg): 60.00 60.00 60.00
Fractional coordinates of all 6 atoms:
1 Zr 0.000 0.000 0.000
2 In 0.375 0.375 0.375
3 In 0.375 0.375 0.875
4 In 0.375 0.875 0.375
5 In 0.875 0.375 0.375
6 Ag 0.750 0.750 0.750

Output
SG = F-43m, No. 216
energy of formation from the pure elements = 0.2829 eV per atom


(2)
## KNdBi2 (PBE)

Data for KNdBi2 after structural relaxation.

a b c (Å): 4.307 4.307 7.793
angles (deg): 90.00 90.00 90.00
Fractional coordinates of all 4 atoms:
1 K 0.000 0.000 0.000
2 Nd 0.000 0.000 0.500
3 Bi 0.500 0.500 0.298
4 Bi 0.500 0.500 0.702

Output
SG = P4/mmm, No. 123
energy of formation from the pure elements = -0.5601 eV per atom
energy above the most stable polymorph in this dataset = 0.0 meV/atom


(3)
## Tb3Pr5O12 (PBE)

Data for Tb3Pr5O12 after structural relaxation.

a b c (Å): 12.031 12.031 12.031
angles (deg): 109.47 109.47 109.47
Fractional coordinates of all 80 atoms:
1 Tb 0.125 0.250 0.375
2 Tb 0.125 0.375 0.750
3 Tb 0.250 0.375 0.125
4 Tb 0.250 0.875 0.625
5 Tb 0.375 0.125 0.250
6 Tb 0.375 0.750 0.125
7 Tb 0.625 0.250 0.875
8 Tb 0.625 0.875 0.750
9 Tb 0.750 0.125 0.375
10 Tb 0.750 0.625 0.875
11 Tb 0.875 0.625 0.250
12 Tb 0.875 0.750 0.625
13 Pr 0.000 0.000 0.000
14 Pr 0.000 0.000 0.500
15 Pr 0.000 0.500 0.000
16 Pr 0.000 0.500 0.500
17 Pr 0.125 0.750 0.875
18 Pr 0.125 0.875 0.250
19 Pr 0.250 0.125 0.875
20 Pr 0.250 0.625 0.375
21 Pr 0.375 0.250 0.625
22 Pr 0.375 0.625 0.750
23 Pr 0.500 0.000 0.000
24 Pr 0.500 0.000 0.500
25 Pr 0.500 0.500 0.000
26 Pr 0.500 0.500 0.500
27 Pr 0.625 0.375 0.250
28 Pr 0.625 0.750 0.375
29 Pr 0.750 0.375 0.625
30 Pr 0.750 0.875 0.125
31 Pr 0.875 0.125 0.750
32 Pr 0.875 0.250 0.125
33 O 0.054 0.229 0.132
34 O 0.054 0.325 0.923
35 O 0.077 0.632 0.402
36 O 0.077 0.946 0.675
37 O 0.098 0.729 0.675
38 O 0.098 0.868 0.423
39 O 0.132 0.054 0.229
40 O 0.132 0.577 0.902
41 O 0.175 0.229 0.598
42 O 0.175 0.446 0.577
43 O 0.229 0.132 0.054
44 O 0.229 0.598 0.175
45 O 0.271 0.325 0.902
46 O 0.271 0.446 0.368
47 O 0.325 0.902 0.271
48 O 0.325 0.923 0.054
49 O 0.368 0.271 0.446
50 O 0.368 0.598 0.923
51 O 0.402 0.077 0.632
52 O 0.402 0.825 0.771
53 O 0.423 0.098 0.868
54 O 0.423 0.825 0.554
55 O 0.446 0.368 0.271
56 O 0.446 0.577 0.175
57 O 0.554 0.423 0.825
58 O 0.554 0.632 0.729
59 O 0.577 0.175 0.446
60 O 0.577 0.902 0.132
61 O 0.598 0.175 0.229
62 O 0.598 0.923 0.368
63 O 0.632 0.402 0.077
64 O 0.632 0.729 0.554
65 O 0.675 0.077 0.946
66 O 0.675 0.098 0.729
67 O 0.729 0.554 0.632
68 O 0.729 0.675 0.098
69 O 0.771 0.402 0.825
70 O 0.771 0.868 0.946
71 O 0.825 0.554 0.423
72 O 0.825 0.771 0.402
73 O 0.868 0.423 0.098
74 O 0.868 0.946 0.771
75 O 0.902 0.132 0.577
76 O 0.902 0.271 0.325
77 O 0.923 0.054 0.325
78 O 0.923 0.368 0.598
79 O 0.946 0.675 0.077
80 O 0.946 0.771 0.868

Output
formation energy (no corrections) = -3.059 eV/atom
SG = Ia-3d, No. 230


(4)
## CsCd2SnRh (PBE)

Data for CsCd2SnRh after structural relaxation.

a b c (Å): 5.442 5.442 5.089
angles (deg): 90.00 90.00 90.00
Fractional coordinates of all 5 atoms:
1 Cs 0.000 0.000 0.000
2 Cd 0.000 0.500 0.500
3 Cd 0.500 0.000 0.500
4 Sn 0.500 0.500 0.000
5 Rh 0.500 0.500 0.500

Output
SG = P4/mmm, No. 123
energy of formation from the pure elements = -0.1813 eV per atom


(5)
## KMgMn2Pb (PBE)

Data for KMgMn2Pb after structural relaxation.

a b c (Å): 4.614 4.614 5.244
angles (deg): 90.00 90.00 90.00
Fractional coordinates of all 5 atoms:
1 K 0.000 0.000 0.000
2 Mg 0.000 0.000 0.500
3 Mn 0.000 0.500 0.000
4 Mn 0.500 0.000 0.000
5 Pb 0.500 0.500 0.500

Output
SG = P4/mmm, No. 123
energy of formation from the pure elements = 2.3376 eV per atom


(6)
## Sr2CdCu (PBE)

Data for Sr2CdCu after structural relaxation.

a b c (Å): 8.691 8.691 8.691
angles (deg): 29.52 29.52 29.52
Fractional coordinates of all 4 atoms:
1 Sr 0.238 0.238 0.238
2 Sr 0.762 0.762 0.762
3 Cd 0.000 0.000 0.000
4 Cu 0.500 0.500 0.500

Output
SG = R-3m, No. 166
energy of formation from the pure elements = -0.0449 eV per atom


(7)
## Mg2PW (PBE)

Data for Mg2PW after structural relaxation.

a b c (Å): 2.941 2.941 8.752
angles (deg): 90.00 90.00 109.68
Fractional coordinates of all 4 atoms:
1 Mg 0.000 0.000 0.000
2 Mg 0.500 0.500 0.293
3 P 0.000 0.000 0.541
4 W 0.500 0.500 0.736

Output
SG = Cmm2, No. 35
energy of formation from the pure elements = 0.1650 eV per atom


(8)
## YCdNiRh (PBE)

Data for YCdNiRh after structural relaxation.

a b c (Å): 4.667 4.667 4.667
angles (deg): 60.00 60.00 60.00
Fractional coordinates of all 4 atoms:
1 Y 0.000 0.000 0.000
2 Cd 0.500 0.500 0.500
3 Ni 0.750 0.750 0.750
4 Rh 0.250 0.250 0.250

Output
SG = F-43m, No. 216
energy of formation from the pure elements = -0.3783 eV per atom


(9)
## NaSnSb (PBE)

Data for NaSnSb after structural relaxation.

a b c (Å): 5.401 5.401 6.886
angles (deg): 90.00 90.00 90.00
Fractional coordinates of all 6 atoms:
1 Na 0.250 0.250 0.175
2 Na 0.750 0.750 0.825
3 Sn 0.250 0.750 0.500
4 Sn 0.750 0.250 0.500
5 Sb 0.250 0.250 0.718
6 Sb 0.750 0.750 0.282

Output
formation energy (no corrections) = -0.132 eV/atom
SG = P4/nmm, No. 129
energy above the most stable polymorph in this dataset = 108.6 meV/atom


(10)
## NaIrSe2N (PBE)

Data for NaIrSe2N after structural relaxation.

a b c (Å): 5.013 5.013 3.940
angles (deg): 90.00 90.00 90.00
Fractional coordinates of all 5 atoms:
1 Na 0.000 0.000 0.000
2 Ir 0.500 0.500 0.500
3 Se 0.000 0.500 0.000
4 Se 0.500 0.000 0.000
5 N 0.000 0.000 0.500

Output
formation energy (no corrections) = 1.902 eV/atom
SG = P4/mmm, No. 123
energy above the most stable polymorph in this dataset = 1860.6 meV/atom


(11)
## KLi2Cu2P2 (PBE)

Data for KLi2Cu2P2 after structural relaxation.

a b c (Å): 9.646 9.646 9.646
angles (deg): 23.66 23.66 23.66
Fractional coordinates of all 7 atoms:
1 K 0.000 0.000 0.000
2 Li 0.136 0.136 0.136
3 Li 0.864 0.864 0.864
4 Cu 0.240 0.240 0.240
5 Cu 0.760 0.760 0.760
6 P 0.426 0.426 0.426
7 P 0.574 0.574 0.574

Output
SG = R-3m, No. 166
energy of formation from the pure elements = -0.4089 eV per atom


(12)
## Ba2Hg2Bi (PBE)

Data for Ba2Hg2Bi after structural relaxation.

a b c (Å): 8.692 8.692 4.884
angles (deg): 90.00 90.00 90.00
Fractional coordinates of all 10 atoms:
1 Ba 0.184 0.316 0.000
2 Ba 0.316 0.816 0.000
3 Ba 0.684 0.184 0.000
4 Ba 0.816 0.684 0.000
5 Hg 0.120 0.620 0.500
6 Hg 0.380 0.120 0.500
7 Hg 0.620 0.880 0.500
8 Hg 0.880 0.380 0.500
9 Bi 0.000 0.000 0.500
10 Bi 0.500 0.500 0.500

Output
SG = P4/mbm, No. 127
energy of formation from the pure elements = -0.5876 eV per atom
energy above the most stable polymorph in this dataset = 19.9 meV/atom


(13)
## PrAlO3 (PBE)

Data for PrAlO3 after structural relaxation.

a b c (Å): 6.753 6.753 6.106
angles (deg): 90.00 90.00 150.91
Fractional coordinates of all 10 atoms:
1 Pr 0.178 0.822 0.750
2 Pr 0.822 0.178 0.250
3 Al 0.430 0.570 0.750
4 Al 0.570 0.430 0.250
5 O 0.011 0.989 0.250
6 O 0.343 0.657 0.523
7 O 0.343 0.657 0.977
8 O 0.657 0.343 0.023
9 O 0.657 0.343 0.477
10 O 0.989 0.011 0.750

Output
formation energy (no corrections) = -3.087 eV/atom
SG = Cmcm, No. 63


(14)
## NiAsW2 (PBE)

Data for NiAsW2 after structural relaxation.

a b c (Å): 2.809 2.809 8.012
angles (deg): 90.00 90.00 107.39
Fractional coordinates of all 4 atoms:
1 Ni 0.000 0.000 0.000
2 As 0.500 0.500 0.773
3 W 0.000 0.000 0.507
4 W 0.500 0.500 0.240

Output
SG = Cmm2, No. 35
energy of formation from the pure elements = 0.2439 eV per atom


(15)
## Tl2SnCl6 (PBE)

Data for Tl2SnCl6 after structural relaxation.

a b c (Å): 7.244 7.653 12.445
angles (deg): 90.00 124.81 90.00
Fractional coordinates of all 18 atoms:
1 Tl 0.235 0.068 0.249
2 Tl 0.235 0.432 0.749
3 Tl 0.765 0.568 0.251
4 Tl 0.765 0.932 0.751
5 Sn 0.500 0.000 0.000
6 Sn 0.500 0.500 0.500
7 Cl 0.194 0.187 0.970
8 Cl 0.194 0.313 0.470
9 Cl 0.279 0.735 0.970
10 Cl 0.279 0.765 0.470
11 Cl 0.323 0.010 0.762
12 Cl 0.323 0.490 0.262
13 Cl 0.677 0.510 0.738
14 Cl 0.677 0.990 0.238
15 Cl 0.721 0.235 0.530
16 Cl 0.721 0.265 0.030
17 Cl 0.806 0.687 0.530
18 Cl 0.806 0.813 0.030

Output
formation energy (no corrections) = -1.031 eV/atom
SG = P2_1/c, No. 14
energy above the most stable polymorph in this dataset = 0.0 meV/atom


(16)
## CaCuBr6 (PBE)

Data for CaCuBr6 after structural relaxation.

a b c (Å): 6.048 6.753 7.346
angles (deg): 70.30 89.09 66.17
Fractional coordinates of all 8 atoms:
1 Ca 0.000 0.000 0.000
2 Cu 0.500 0.000 0.500
3 Br 0.230 0.205 0.678
4 Br 0.241 0.853 0.394
5 Br 0.246 0.513 0.011
6 Br 0.754 0.487 0.989
7 Br 0.759 0.147 0.606
8 Br 0.770 0.795 0.322

Output
formation energy (no corrections) = -0.711 eV/atom
SG = P-1, No. 2


(17)
## Ce2ThCrN5 (PBE)

Data for Ce2ThCrN5 after structural relaxation.

a b c (Å): 7.287 7.287 7.287
angles (deg): 126.23 126.23 79.51
Fractional coordinates of all 18 atoms:
1 Ce 0.169 0.669 0.839
2 Ce 0.331 0.169 0.500
3 Ce 0.669 0.831 0.500
4 Ce 0.831 0.331 0.161
5 Th 0.250 0.250 0.000
6 Th 0.750 0.750 0.000
7 Cr 0.250 0.750 0.500
8 Cr 0.750 0.250 0.500
9 N 0.000 0.000 0.000
10 N 0.001 0.202 0.500
11 N 0.202 0.702 0.201
12 N 0.298 0.499 0.500
13 N 0.499 0.999 0.201
14 N 0.500 0.500 0.000
15 N 0.501 0.001 0.799
16 N 0.702 0.501 0.500
17 N 0.798 0.298 0.799
18 N 0.999 0.798 0.500

Output
formation energy (no corrections) = -1.286 eV/atom
SG = I4/mcm, No. 140


(18)
## KTiSnCl6 (PBE)

Data for KTiSnCl6 after structural relaxation.

a b c (Å): 7.011 7.011 13.244
angles (deg): 90.00 90.00 120.00
Fractional coordinates of all 18 atoms:
1 K 0.000 0.000 0.000
2 K 0.000 0.000 0.500
3 Ti 0.333 0.667 0.250
4 Ti 0.667 0.333 0.750
5 Sn 0.333 0.667 0.750
6 Sn 0.667 0.333 0.250
7 Cl 0.043 0.389 0.143
8 Cl 0.043 0.654 0.357
9 Cl 0.346 0.389 0.357
10 Cl 0.346 0.957 0.143
11 Cl 0.389 0.043 0.643
12 Cl 0.389 0.346 0.857
13 Cl 0.611 0.654 0.143
14 Cl 0.611 0.957 0.357
15 Cl 0.654 0.043 0.857
16 Cl 0.654 0.611 0.643
17 Cl 0.957 0.346 0.643
18 Cl 0.957 0.611 0.857

Output
formation energy (no corrections) = -1.485 eV/atom
SG = P-31c, No. 163


(19)
## CdMo4Rh5 (PBE)

Data for CdMo4Rh5 after structural relaxation.

a b c (Å): 2.790 2.790 19.572
angles (deg): 90.00 90.00 90.00
Fractional coordinates of all 10 atoms:
1 Cd 0.000 0.000 0.000
2 Mo 0.000 0.000 0.202
3 Mo 0.000 0.000 0.401
4 Mo 0.000 0.000 0.599
5 Mo 0.000 0.000 0.798
6 Rh 0.500 0.500 0.110
7 Rh 0.500 0.500 0.302
8 Rh 0.500 0.500 0.500
9 Rh 0.500 0.500 0.698
10 Rh 0.500 0.500 0.890

Output
SG = P4/mmm, No. 123
energy of formation from the pure elements = -0.1686 eV per atom


(20)
## Na2NdBiS4 (PBE)

Data for Na2NdBiS4 after structural relaxation.

a b c (Å): 7.111 4.105 7.145
angles (deg): 90.00 109.34 90.00
Fractional coordinates of all 8 atoms:
1 Na 0.000 0.000 0.000
2 Na 0.500 0.500 0.000
3 Nd 0.000 0.500 0.500
4 Bi 0.500 0.000 0.500
5 S 0.245 0.000 0.734
6 S 0.255 0.500 0.264
7 S 0.745 0.500 0.736
8 S 0.755 0.000 0.266

Output
formation energy (no corrections) = -1.273 eV/atom
SG = P2/m, No. 10


(21)
## AcTl3Hg2 (PBE)

Data for AcTl3Hg2 after structural relaxation.

a b c (Å): 9.383 9.383 8.096
angles (deg): 91.35 91.35 31.34
Fractional coordinates of all 12 atoms:
1 Ac 0.150 0.150 0.286
2 Ac 0.850 0.850 0.714
3 Tl 0.068 0.068 0.858
4 Tl 0.315 0.315 0.030
5 Tl 0.385 0.385 0.418
6 Tl 0.615 0.615 0.582
7 Tl 0.685 0.685 0.970
8 Tl 0.932 0.932 0.142
9 Hg 0.224 0.224 0.676
10 Hg 0.469 0.469 0.796
11 Hg 0.531 0.531 0.204
12 Hg 0.776 0.776 0.324

Output
SG = C2/m, No. 12
energy of formation from the pure elements = -0.1819 eV per atom
energy above the most stable polymorph in this dataset = 21.7 meV/atom